A relaxed structure of Dy4Er4Tm. Source: the Alexandria database, functional GGA-PBE.

Unit cell a=10.5432 b=10.5432 c=4.9605 alpha=90.00 beta=90.00 gamma=90.00
Space group I4/mmm (No. 139)
One atom of each set of equivalent atoms:
1 Dy 0.0000 0.3326 0.0000
2 Er 0.1664 0.1664 0.5000
3 Tm 0.0000 0.0000 0.0000

Polymorph energy (0 for the lowest one) ... 0.000 eV per atom
Energy of formation from the pure elements ... 0.50 kcal/mol of atoms
Uncorrected energy ... -81.9 eV for the cell shown